ZnCuRh PBE-GGA relaxed; polymorph energy (0 for the lowest one) = 0.054 eV/atom
1.0
4.139 0.000 0.000
-2.069 3.584 0.000
0.000 0.000 2.737
Zn Cu Rh
1 1 1
direct
0.000 0.000 0.000 Zn
0.667 0.333 0.119 Cu
0.333 0.667 0.563 Rh



Zn2CuRh2 PBE-GGA relaxed; polymorph energy (0 for the lowest one) = 0.000 eV/atom
1.0
4.222 -1.917 0.000
4.222 1.917 0.000
-4.122 0.000 4.248
Zn Cu Rh
2 1 2
direct
0.092 0.092 0.296 Zn
0.908 0.908 0.704 Zn
0.500 0.500 0.500 Cu
0.296 0.296 0.886 Rh
0.704 0.704 0.114 Rh